1.
# AcLuOs4 (PBE, optimized geometry)
data_AcLuOs4
_chemical_formula_sum 'Ac4 Lu4 Os16'
_space_group_name_H-M_alt 'F -4 3 m'
_space_group_IT_number 216
_space_group_name_Hall 'F -4 2 3'
_cell_length_a 7.7135
_cell_length_b 7.7135
_cell_length_c 7.7135
_cell_angle_alpha 90.00
_cell_angle_beta 90.00
_cell_angle_gamma 90.00
loop_
_atom_site_label
_atom_site_type_symbol
_atom_site_fract_x
_atom_site_fract_y
_atom_site_fract_z
Ac1 Ac 0.0000 0.0000 0.0000
Lu1 Lu 0.2500 0.2500 0.2500
Os1 Os 0.1243 0.1243 0.6243
# **DOS(E_F)**: 29.09 states/eV/cell
# **Formation energy**: 0.0115 eV/atom



2.
# AcLuOs (PBE, optimized geometry)
data_AcLuOs
_chemical_formula_sum 'Ac4 Lu4 Os4'
_space_group_name_H-M_alt 'F -4 3 m'
_space_group_IT_number 216
_space_group_name_Hall 'F -4 2 3'
_cell_length_a 6.9892
_cell_length_b 6.9892
_cell_length_c 6.9892
_cell_angle_alpha 90.00
_cell_angle_beta 90.00
_cell_angle_gamma 90.00
loop_
_atom_site_label
_atom_site_type_symbol
_atom_site_fract_x
_atom_site_fract_y
_atom_site_fract_z
Ac1 Ac 0.0000 0.0000 0.0000
Lu1 Lu 0.0000 0.0000 0.5000
Os1 Os 0.2500 0.2500 0.7500
# **DOS(E_F)**: 10.56 states/eV/cell
# **Formation energy**: -0.0710 eV/atom



3.
# AcLuOsPd (PBE, optimized geometry)
data_AcLuOsPd
_chemical_formula_sum 'Ac4 Lu4 Os4 Pd4'
_space_group_name_H-M_alt 'F -4 3 m'
_space_group_IT_number 216
_space_group_name_Hall 'F -4 2 3'
_cell_length_a 7.1275
_cell_length_b 7.1275
_cell_length_c 7.1275
_cell_angle_alpha 90.00
_cell_angle_beta 90.00
_cell_angle_gamma 90.00
loop_
_atom_site_label
_atom_site_type_symbol
_atom_site_fract_x
_atom_site_fract_y
_atom_site_fract_z
Ac1 Ac 0.0000 0.0000 0.0000
Lu1 Lu 0.0000 0.0000 0.5000
Os1 Os 0.2500 0.2500 0.2500
Pd1 Pd 0.2500 0.2500 0.7500
# **DOS(E_F)**: 9.35 states/eV/cell
# **Formation energy**: -0.3299 eV/atom



4.
# AcLu2Pa (PBE, optimized geometry)
data_AcLu2Pa
_chemical_formula_sum 'Ac1 Lu2 Pa1'
_space_group_name_H-M_alt 'P 4/m m m'
_space_group_IT_number 123
_space_group_name_Hall '-P 4 2'
_cell_length_a 3.5533
_cell_length_b 3.5533
_cell_length_c 9.9685
_cell_angle_alpha 90.00
_cell_angle_beta 90.00
_cell_angle_gamma 90.00
loop_
_atom_site_label
_atom_site_type_symbol
_atom_site_fract_x
_atom_site_fract_y
_atom_site_fract_z
Ac1 Ac 0.0000 0.0000 0.0000
Lu1 Lu 0.5000 0.5000 0.2813
Pa1 Pa 0.0000 0.0000 0.5000
# **DOS(E_F)**: 7.30 states/eV/cell
# **Formation energy**: 0.1810 eV/atom



5.
# AcLuPa (PBE, optimized geometry)
data_AcLuPa
_chemical_formula_sum 'Ac1 Lu1 Pa1'
_space_group_name_H-M_alt 'P 3 m 1'
_space_group_IT_number 156
_cell_length_a 3.5362
_cell_length_b 3.5362
_cell_length_c 8.7704
_cell_angle_alpha 90.00
_cell_angle_beta 90.00
_cell_angle_gamma 120.00
loop_
_space_group_symop_operation_xyz
'x,y,z'
'-y,x-y,z'
'-x+y,-x,z'
'-y,-x,z'
'-x+y,y,z'
'x,x-y,z'
loop_
_atom_site_label
_atom_site_type_symbol
_atom_site_fract_x
_atom_site_fract_y
_atom_site_fract_z
Ac1 Ac 0.0000 0.0000 0.0000
Lu1 Lu 0.3333 0.6667 0.6356
Pa1 Pa 0.6667 0.3333 0.3310
# **DOS(E_F)**: 4.71 states/eV/cell
# **Formation energy**: 0.2669 eV/atom



6.
# AcLu2Pa (PBE, optimized geometry)
data_AcLu2Pa
_chemical_formula_sum 'Ac3 Lu6 Pa3'
_space_group_name_H-M_alt 'R -3 m'
_space_group_IT_number 166
_space_group_name_Hall '-R 3 2"'
_cell_length_a 3.4621
_cell_length_b 3.4621
_cell_length_c 36.8233
_cell_angle_alpha 90.00
_cell_angle_beta 90.00
_cell_angle_gamma 120.00
loop_
_atom_site_label
_atom_site_type_symbol
_atom_site_fract_x
_atom_site_fract_y
_atom_site_fract_z
Ac1 Ac 0.0000 0.0000 0.0000
Lu1 Lu 0.0000 0.0000 0.0953
Pa1 Pa 0.0000 0.0000 0.5000
# **DOS(E_F)**: 13.83 states/eV/cell
# **Formation energy**: 0.2569 eV/atom